{"formula": "PrSmHo2Sb4", "functional": "PBE", "state": "relaxed", "lattice_angstrom": [[7.6880, 0.0000, 0.0000], [0.0000, 4.4464, 0.0000], [-2.5689, 0.0000, 7.2552]], "species": ["Pr", "Sm", "Ho", "Ho", "Sb", "Sb", "Sb", "Sb"], "frac_coords": [[0.0000, 0.0000, 0.0000], [0.0000, 0.5000, 0.5000], [0.5000, 0.0000, 0.5000], [0.5000, 0.5000, 0.0000], [0.2586, 0.0000, 0.7505], [0.2604, 0.5000, 0.2559], [0.7396, 0.5000, 0.7441], [0.7414, 0.0000, 0.2495]], "space_group": "P2/m", "dft_energy_ev_per_atom": -5.538}